Entry 1:
# GGA-PBE CaSe3Cl, optimized geometry
data_CaSe3Cl
_chemical_formula_sum 'Ca1 Se3 Cl1'
_space_group_name_H-M_alt 'P m -3 m'
_space_group_IT_number 221
_space_group_name_Hall '-P 4 2 3'
_cell_length_a 5.7097
_cell_length_b 5.7097
_cell_length_c 5.7097
_cell_angle_alpha 90.00
_cell_angle_beta 90.00
_cell_angle_gamma 90.00
loop_
_atom_site_label
_atom_site_type_symbol
_atom_site_fract_x
_atom_site_fract_y
_atom_site_fract_z
Ca1 Ca 0.0000 0.0000 0.0000
Se1 Se 0.0000 0.0000 0.5000
Cl1 Cl 0.5000 0.5000 0.5000
# energy relative to the elements, uncorrected	163	meV/atom
# mass density	2.787	g/cm³
# energy relative to the lowest polymorph listed for this composition	0.281	eV/atom
# M_tot	5.00	Bohr magnetons per cell


Entry 2:
# GGA-PBE CaSeCl2, optimized geometry
data_CaSeCl2
_chemical_formula_sum 'Ca4 Se4 Cl8'
_space_group_name_H-M_alt 'F m m m'
_space_group_IT_number 69
_space_group_name_Hall '-F 2 2'
_cell_length_a 6.5949
_cell_length_b 6.9517
_cell_length_c 8.8603
_cell_angle_alpha 90.00
_cell_angle_beta 90.00
_cell_angle_gamma 90.00
loop_
_atom_site_label
_atom_site_type_symbol
_atom_site_fract_x
_atom_site_fract_y
_atom_site_fract_z
Ca1 Ca 0.0000 0.0000 0.0000
Se1 Se 0.0000 0.0000 0.5000
Cl1 Cl 0.0000 0.2500 0.2500
# energy relative to the elements, uncorrected	-1202	meV/atom
# mass density	3.106	g/cm³
# energy relative to the lowest polymorph listed for this composition	0.206	eV/atom
# M_tot	0.00	Bohr magnetons per cell


Entry 3:
# GGA-PBE CaSeCl2, optimized geometry
data_CaSeCl2
_chemical_formula_sum 'Ca1 Se1 Cl2'
_space_group_name_H-M_alt 'P 4/m m m'
_space_group_IT_number 123
_space_group_name_Hall '-P 4 2'
_cell_length_a 3.2916
_cell_length_b 3.2916
_cell_length_c 11.7073
_cell_angle_alpha 90.00
_cell_angle_beta 90.00
_cell_angle_gamma 90.00
loop_
_atom_site_label
_atom_site_type_symbol
_atom_site_fract_x
_atom_site_fract_y
_atom_site_fract_z
Ca1 Ca 0.0000 0.0000 0.0000
Se1 Se 0.0000 0.0000 0.5000
Cl1 Cl 0.5000 0.5000 0.1363
# energy relative to the elements, uncorrected	-1229	meV/atom
# mass density	2.487	g/cm³
# energy relative to the lowest polymorph listed for this composition	0.180	eV/atom
# M_tot	0.00	Bohr magnetons per cell


Entry 4:
# GGA-PBE CaSeCl2, optimized geometry
data_CaSeCl2
_chemical_formula_sum 'Ca1 Se1 Cl2'
_space_group_name_H-M_alt 'P 1 2/m 1'
_space_group_IT_number 10
_cell_length_a 5.5371
_cell_length_b 4.0416
_cell_length_c 5.5492
_cell_angle_alpha 90.00
_cell_angle_beta 105.69
_cell_angle_gamma 90.00
loop_
_space_group_symop_operation_xyz
'x,y,z'
'-x,-y,-z'
'-x,y,-z'
'x,-y,z'
loop_
_atom_site_label
_atom_site_type_symbol
_atom_site_fract_x
_atom_site_fract_y
_atom_site_fract_z
Ca1 Ca 0.0000 0.0000 0.0000
Se1 Se 0.5000 0.0000 0.5000
Cl1 Cl 0.2020 0.5000 0.7975
# energy relative to the elements, uncorrected	-1130	meV/atom
# mass density	2.638	g/cm³
# energy relative to the lowest polymorph listed for this composition	0.279	eV/atom
# M_tot	2.00	Bohr magnetons per cell


Entry 5:
# GGA-PBE CaTlSeCl, optimized geometry
data_CaTlSeCl
_chemical_formula_sum 'Ca3 Tl3 Se3 Cl3'
_space_group_name_H-M_alt 'R 3 m'
_space_group_IT_number 160
_space_group_name_Hall 'R 3 -2"'
_cell_length_a 4.2278
_cell_length_b 4.2278
_cell_length_c 24.3975
_cell_angle_alpha 90.00
_cell_angle_beta 90.00
_cell_angle_gamma 120.00
loop_
_atom_site_label
_atom_site_type_symbol
_atom_site_fract_x
_atom_site_fract_y
_atom_site_fract_z
Ca1 Ca 0.0000 0.0000 0.0000
Tl1 Tl 0.0000 0.0000 0.1888
Se1 Se 0.0000 0.0000 0.5998
Cl1 Cl 0.0000 0.0000 0.3930
# energy relative to the elements, uncorrected	-1545	meV/atom
# mass density	4.734	g/cm³
# M_tot	0.00	Bohr magnetons per cell


Entry 6:
# GGA-PBE Ca2ZnSeCl, optimized geometry
data_Ca2ZnSeCl
_chemical_formula_sum 'Ca2 Zn1 Se1 Cl1'
_space_group_name_H-M_alt 'P 4/m m m'
_space_group_IT_number 123
_space_group_name_Hall '-P 4 2'
_cell_length_a 5.6342
_cell_length_b 5.6342
_cell_length_c 4.7005
_cell_angle_alpha 90.00
_cell_angle_beta 90.00
_cell_angle_gamma 90.00
loop_
_atom_site_label
_atom_site_type_symbol
_atom_site_fract_x
_atom_site_fract_y
_atom_site_fract_z
Ca1 Ca 0.0000 0.5000 0.0000
Zn1 Zn 0.0000 0.0000 0.0000
Se1 Se 0.5000 0.5000 0.5000
Cl1 Cl 0.0000 0.0000 0.5000
# energy relative to the elements, uncorrected	-530	meV/atom
# mass density	2.893	g/cm³
# M_tot	0.00	Bohr magnetons per cell


Entry 7:
# GGA-PBE CaSi2Cl, optimized geometry
data_CaSi2Cl
_chemical_formula_sum 'Ca2 Si4 Cl2'
_space_group_name_H-M_alt 'C 1 2/m 1'
_space_group_IT_number 12
_cell_length_a 12.3842
_cell_length_b 3.7501
_cell_length_c 3.9270
_cell_angle_alpha 90.00
_cell_angle_beta 94.26
_cell_angle_gamma 90.00
loop_
_space_group_symop_operation_xyz
'x,y,z'
'-x,-y,-z'
'-x,y,-z'
'x,-y,z'
'x+1/2,y+1/2,z'
'-x+1/2,-y+1/2,-z'
'-x+1/2,y+1/2,-z'
'x+1/2,-y+1/2,z'
loop_
_atom_site_label
_atom_site_type_symbol
_atom_site_fract_x
_atom_site_fract_y
_atom_site_fract_z
Ca1 Ca 0.0000 0.0000 0.0000
Si1 Si 0.2497 0.0000 0.8183
Cl1 Cl 0.0000 0.5000 0.5000
# energy relative to the elements, uncorrected	-520	meV/atom
# mass density	2.405	g/cm³
# energy relative to the lowest polymorph listed for this composition	0.296	eV/atom
# M_tot	0.00	Bohr magnetons per cell


Entry 8:
# GGA-PBE CaSiCl3, optimized geometry
data_CaSiCl3
_chemical_formula_sum 'Ca1 Si1 Cl3'
_space_group_name_H-M_alt 'P m -3 m'
_space_group_IT_number 221
_space_group_name_Hall '-P 4 2 3'
_cell_length_a 5.3064
_cell_length_b 5.3064
_cell_length_c 5.3064
_cell_angle_alpha 90.00
_cell_angle_beta 90.00
_cell_angle_gamma 90.00
loop_
_atom_site_label
_atom_site_type_symbol
_atom_site_fract_x
_atom_site_fract_y
_atom_site_fract_z
Ca1 Ca 0.0000 0.0000 0.0000
Si1 Si 0.5000 0.5000 0.5000
Cl1 Cl 0.0000 0.0000 0.5000
# energy relative to the elements, uncorrected	-870	meV/atom
# mass density	1.940	g/cm³
# energy relative to the lowest polymorph listed for this composition	0.000	eV/atom
# M_tot	1.00	Bohr magnetons per cell


Entry 9:
# GGA-PBE CaSi2Cl, optimized geometry
data_CaSi2Cl
_chemical_formula_sum 'Ca1 Si2 Cl1'
_space_group_name_H-M_alt 'P 4 m m'
_space_group_IT_number 99
_cell_length_a 3.4662
_cell_length_b 3.4662
_cell_length_c 7.8721
_cell_angle_alpha 90.00
_cell_angle_beta 90.00
_cell_angle_gamma 90.00
loop_
_space_group_symop_operation_xyz
'x,y,z'
'-y,x,z'
'-x,-y,z'
'y,-x,z'
'-x,y,z'
'y,x,z'
'x,-y,z'
'-y,-x,z'
loop_
_atom_site_label
_atom_site_type_symbol
_atom_site_fract_x
_atom_site_fract_y
_atom_site_fract_z
Ca1 Ca 0.0000 0.0000 0.0000
Si1 Si 0.0000 0.0000 0.6240
Si2 Si 0.5000 0.5000 0.6979
Cl1 Cl 0.5000 0.5000 0.1712
# energy relative to the elements, uncorrected	-585	meV/atom
# mass density	2.312	g/cm³
# energy relative to the lowest polymorph listed for this composition	0.232	eV/atom
# M_tot	0.00	Bohr magnetons per cell


Entry 10:
# GGA-PBE CaSiCl2, optimized geometry
data_CaSiCl2
_chemical_formula_sum 'Ca4 Si4 Cl8'
_space_group_name_H-M_alt 'F m -3 m'
_space_group_IT_number 225
_space_group_name_Hall '-F 4 2 3'
_cell_length_a 7.1075
_cell_length_b 7.1075
_cell_length_c 7.1075
_cell_angle_alpha 90.00
_cell_angle_beta 90.00
_cell_angle_gamma 90.00
loop_
_atom_site_label
_atom_site_type_symbol
_atom_site_fract_x
_atom_site_fract_y
_atom_site_fract_z
Ca1 Ca 0.0000 0.0000 0.0000
Si1 Si 0.0000 0.0000 0.5000
Cl1 Cl 0.2500 0.2500 0.2500
# energy relative to the elements, uncorrected	-590	meV/atom
# mass density	2.573	g/cm³
# energy relative to the lowest polymorph listed for this composition	0.353	eV/atom
# M_tot	5.09	Bohr magnetons per cell


Entry 11:
# GGA-PBE CaSi2Cl, optimized geometry
data_CaSi2Cl
_chemical_formula_sum 'Ca2 Si4 Cl2'
_space_group_name_H-M_alt 'I m m 2'
_space_group_IT_number 44
_cell_length_a 3.8940
_cell_length_b 6.4938
_cell_length_c 8.1349
_cell_angle_alpha 90.00
_cell_angle_beta 90.00
_cell_angle_gamma 90.00
loop_
_space_group_symop_operation_xyz
'x,y,z'
'-x,-y,z'
'-x,y,z'
'x,-y,z'
'x+1/2,y+1/2,z+1/2'
'-x+1/2,-y+1/2,z+1/2'
'-x+1/2,y+1/2,z+1/2'
'x+1/2,-y+1/2,z+1/2'
loop_
_atom_site_label
_atom_site_type_symbol
_atom_site_fract_x
_atom_site_fract_y
_atom_site_fract_z
Ca1 Ca 0.0000 0.0000 0.0000
Si1 Si 0.0000 0.0000 0.5551
Si2 Si 0.0000 0.5000 0.2013
Cl1 Cl 0.0000 0.5000 0.7200
# energy relative to the elements, uncorrected	-405	meV/atom
# mass density	2.126	g/cm³
# energy relative to the lowest polymorph listed for this composition	0.412	eV/atom
# M_tot	0.00	Bohr magnetons per cell


Entry 12:
# GGA-PBE CaSiCl2, optimized geometry
data_CaSiCl2
_chemical_formula_sum 'Ca3 Si3 Cl6'
_space_group_name_H-M_alt 'R 3 m'
_space_group_IT_number 160
_space_group_name_Hall 'R 3 -2"'
_cell_length_a 3.7364
_cell_length_b 3.7364
_cell_length_c 27.7601
_cell_angle_alpha 90.00
_cell_angle_beta 90.00
_cell_angle_gamma 120.00
loop_
_atom_site_label
_atom_site_type_symbol
_atom_site_fract_x
_atom_site_fract_y
_atom_site_fract_z
Ca1 Ca 0.0000 0.0000 0.0000
Si1 Si 0.0000 0.0000 0.2481
Cl1 Cl 0.0000 0.0000 0.5247
Cl2 Cl 0.0000 0.0000 0.7247
# energy relative to the elements, uncorrected	-693	meV/atom
# mass density	2.064	g/cm³
# energy relative to the lowest polymorph listed for this composition	0.251	eV/atom
# M_tot	0.00	Bohr magnetons per cell